No. 1
Computed, not measured: a geometry-optimized SrCuP2 structure at the PBE level of DFT.

Calculated values
The calculated volume is 88 Å³/cell. The calculation puts the density of states at the Fermi level at 0.991 states/eV/cell. The energy relative to the elements is -51 kJ per mole of atoms.

Structure (POSCAR):
```
SrCuP2
1.0
3.7948 0.0000 0.0000
0.0000 4.5097 -0.2854
0.0000 0.3199 5.1055
Cu P Sr
1 2 1
Direct
0.5000 0.7500 0.7500
0.0000 0.7500 0.0263
0.0000 0.7500 0.4737
0.5000 0.2500 0.2500
```

---

No. 2
Computed, not measured: a geometry-optimized SrCuP2 structure at the PBE level of DFT.

Calculated values
The calculated volume is 78 Å³/cell. The calculation puts the density of states at the Fermi level at 1.053 states/eV/cell. The energy relative to the elements is 20 kJ per mole of atoms.

Structure (POSCAR):
```
SrCuP2
1.0
4.7932 0.0000 0.0000
2.3966 4.1511 0.0000
2.3966 1.3837 3.9137
Cu P Sr
1 2 1
Direct
0.5000 0.5000 0.5000
0.0000 0.0000 0.0000
0.2500 0.2500 0.2500
0.7500 0.7500 0.7500
```

---

No. 3
Computed, not measured: a geometry-optimized SrCuP2 structure at the PBE level of DFT.

Calculated values
The calculated volume is 80 Å³/cell. The calculation puts the density of states at the Fermi level at 2.240 states/eV/cell. The energy relative to the elements is -31 kJ per mole of atoms.

Structure (POSCAR):
```
SrCuP2
1.0
5.7257 -0.0315 -0.0200
4.1854 3.9073 -0.0200
4.1854 1.6367 3.5480
Cu P Sr
1 2 1
Direct
0.2500 0.2500 0.2500
0.9491 0.9491 0.9491
0.5509 0.5509 0.5509
0.7500 0.7500 0.7500
```

---

No. 4
Computed, not measured: a geometry-optimized SrCuP2 structure at the PBE level of DFT.

Calculated values
The calculated volume is 78 Å³/cell. The calculation puts the density of states at the Fermi level at 2.519 states/eV/cell. The energy relative to the elements is 10 kJ per mole of atoms.

Structure (POSCAR):
```
SrCuP2
1.0
5.4418 0.0286 0.0000
2.2966 4.9335 0.0000
-3.8692 -2.4810 2.9134
Cu P Sr
1 2 1
Direct
0.7500 0.2500 0.5000
0.0000 0.0000 0.0000
0.2500 0.7500 0.5000
0.5000 0.5000 0.0000
```

---

Which value of energy relative to the elements does entry 4 give?
10 kJ per mole of atoms

---

Look up the energy relative to the elements of the second one.
20 kJ per mole of atoms